Entry from the Alexandria database: an optimized crystal structure of LiMo3Au (GGA-PBEsol).

Its calculated formation energy is 564.6 kJ/mol of formula units. The value obtained for the total DFT energy (no corrections) is -7.07 eV per atom. For the magnetization, the calculation gives 0.00 μB per formula unit.

It has space group Pm-3m (No. 221), with a = 4.1662 Å, b = 4.1662 Å, c = 4.1662 Å, α = 90.00°, β = 90.00° and γ = 90.00°. The asymmetric unit holds Li at (0.0000, 0.0000, 0.0000), Mo at (0.0000, 0.0000, 0.5000) and Au at (0.5000, 0.5000, 0.5000).